First-principles (GGA-PBE) data for crystalline CeHoSc at its relaxed geometry, as listed in the Alexandria database.

Structure (CIF):
```
data_CeHoSc
_chemical_formula_sum 'Ce1 Ho1 Sc1'
_cell_length_a 3.412
_cell_length_b 3.412
_cell_length_c 8.289
_cell_angle_alpha 90.00
_cell_angle_beta 90.00
_cell_angle_gamma 120.00
_space_group_name_H-M_alt 'P 1'
_space_group_IT_number 1
loop_
_space_group_symop_operation_xyz
'x,y,z'
loop_
_atom_site_label
_atom_site_type_symbol
_atom_site_fract_x
_atom_site_fract_y
_atom_site_fract_z
Sc1 Sc 0.667 0.333 0.337
Ce1 Ce 0.333 0.667 0.659
Ho1 Ho 0.000 0.000 0.004
```

Summary:
Energy relative to the lowest polymorph listed for this composition   0 meV/atom
SG   P3m1 (156)

=====

First-principles (GGA-PBE) data for crystalline Tl2Ag2Au at its relaxed geometry, as listed in the Alexandria database.

Structure (CIF):
```
data_Tl2Ag2Au
_chemical_formula_sum 'Tl2 Ag2 Au1'
_cell_length_a 4.293
_cell_length_b 4.293
_cell_length_c 7.441
_cell_angle_alpha 73.24
_cell_angle_beta 73.24
_cell_angle_gamma 90.00
_space_group_name_H-M_alt 'P 1'
_space_group_IT_number 1
loop_
_space_group_symop_operation_xyz
'x,y,z'
loop_
_atom_site_label
_atom_site_type_symbol
_atom_site_fract_x
_atom_site_fract_y
_atom_site_fract_z
Ag1 Ag 0.404 0.404 0.193
Ag2 Ag 0.596 0.596 0.807
Au1 Au 0.000 0.000 0.000
Tl1 Tl 0.750 0.250 0.500
Tl2 Tl 0.250 0.750 0.500
```

Summary:
Energy relative to the lowest polymorph listed for this composition   261 meV/atom
SG   I4/mmm (139)

=====

First-principles (GGA-PBE) data for crystalline Zr7Cd2 at its relaxed geometry, as listed in the Alexandria database.

Structure (CIF):
```
data_Zr7Cd2
_chemical_formula_sum 'Zr7 Cd2'
_cell_length_a 5.576
_cell_length_b 5.576
_cell_length_c 7.708
_cell_angle_alpha 90.00
_cell_angle_beta 90.00
_cell_angle_gamma 120.00
_space_group_name_H-M_alt 'P 1'
_space_group_IT_number 1
loop_
_space_group_symop_operation_xyz
'x,y,z'
loop_
_atom_site_label
_atom_site_type_symbol
_atom_site_fract_x
_atom_site_fract_y
_atom_site_fract_z
Zr1 Zr 0.666 0.666 0.664
Zr2 Zr 0.000 0.334 0.664
Zr3 Zr 0.666 0.000 0.336
Zr4 Zr 0.334 0.334 0.336
Cd1 Cd 0.333 0.667 0.000
Zr5 Zr 0.334 0.000 0.664
Zr6 Zr 0.000 0.000 0.000
Zr7 Zr 0.000 0.666 0.336
Cd2 Cd 0.667 0.333 0.000
```

Summary:
DFT total energy   -6.8107 eV/atom
SG   P-31m (162)

=====

First-principles (GGA-PBE) data for crystalline CsHfHgCl6 at its relaxed geometry, as listed in the Alexandria database.

Structure (CIF):
```
data_CsHfHgCl6
_chemical_formula_sum 'Cs1 Hf1 Hg1 Cl6'
_cell_length_a 7.432
_cell_length_b 7.432
_cell_length_c 7.171
_cell_angle_alpha 90.00
_cell_angle_beta 90.00
_cell_angle_gamma 60.00
_space_group_name_H-M_alt 'P 1'
_space_group_IT_number 1
loop_
_space_group_symop_operation_xyz
'x,y,z'
loop_
_atom_site_label
_atom_site_type_symbol
_atom_site_fract_x
_atom_site_fract_y
_atom_site_fract_z
Hg1 Hg 0.667 0.667 0.500
Cl1 Cl 0.055 0.351 0.299
Hf1 Hf 0.333 0.333 0.500
Cl2 Cl 0.351 0.594 0.299
Cl3 Cl 0.594 0.351 0.701
Cs1 Cs 0.000 0.000 0.000
Cl4 Cl 0.594 0.055 0.299
Cl5 Cl 0.351 0.055 0.701
Cl6 Cl 0.055 0.594 0.701
```

Summary:
Uncorrected formation energy   -1.5387 eV per atom
SG   P312 (149)

=====

First-principles (GGA-PBE) data for crystalline TaGaSe3 at its relaxed geometry, as listed in the Alexandria database.

Structure (CIF):
```
data_TaGaSe3
_chemical_formula_sum 'Ta1 Ga1 Se3'
_cell_length_a 4.812
_cell_length_b 4.812
_cell_length_c 4.812
_cell_angle_alpha 90.00
_cell_angle_beta 90.00
_cell_angle_gamma 90.00
_space_group_name_H-M_alt 'P 1'
_space_group_IT_number 1
loop_
_space_group_symop_operation_xyz
'x,y,z'
loop_
_atom_site_label
_atom_site_type_symbol
_atom_site_fract_x
_atom_site_fract_y
_atom_site_fract_z
Se1 Se 0.000 0.000 0.500
Ga1 Ga 0.000 0.000 0.000
Ta1 Ta 0.500 0.500 0.500
Se2 Se 0.000 0.500 0.000
Se3 Se 0.500 0.000 0.000
```

Summary:
Uncorrected formation energy   0.7823 eV per atom
SG   Pm-3m (221)

=====

First-principles (GGA-PBE) data for crystalline Ti2Tc2Hg at its relaxed geometry, as listed in the Alexandria database.

Structure (CIF):
```
data_Ti2Tc2Hg
_chemical_formula_sum 'Ti4 Tc4 Hg2'
_cell_length_a 7.314
_cell_length_b 7.314
_cell_length_c 3.139
_cell_angle_alpha 90.00
_cell_angle_beta 90.00
_cell_angle_gamma 90.00
_space_group_name_H-M_alt 'P 1'
_space_group_IT_number 1
loop_
_space_group_symop_operation_xyz
'x,y,z'
loop_
_atom_site_label
_atom_site_type_symbol
_atom_site_fract_x
_atom_site_fract_y
_atom_site_fract_z
Hg1 Hg 0.000 0.000 0.000
Tc1 Tc 0.359 0.859 0.000
Ti1 Ti 0.653 0.847 0.500
Ti2 Ti 0.347 0.153 0.500
Hg2 Hg 0.500 0.500 0.000
Tc2 Tc 0.859 0.641 0.000
Ti3 Ti 0.847 0.347 0.500
Tc3 Tc 0.641 0.141 0.000
Tc4 Tc 0.141 0.359 0.000
Ti4 Ti 0.153 0.653 0.500
```

Summary:
DFT total energy   -7.3524 eV/atom
SG   P4/mbm (127)

=====

First-principles (GGA-PBE) data for crystalline Nd4ZnGa at its relaxed geometry, as listed in the Alexandria database.

Structure (CIF):
```
data_Nd4ZnGa
_chemical_formula_sum 'Nd4 Zn1 Ga1'
_cell_length_a 5.107
_cell_length_b 5.108
_cell_length_c 7.209
_cell_angle_alpha 89.96
_cell_angle_beta 89.98
_cell_angle_gamma 90.00
_space_group_name_H-M_alt 'P 1'
_space_group_IT_number 1
loop_
_space_group_symop_operation_xyz
'x,y,z'
loop_
_atom_site_label
_atom_site_type_symbol
_atom_site_fract_x
_atom_site_fract_y
_atom_site_fract_z
Nd1 Nd 0.501 0.998 0.747
Ga1 Ga 0.501 0.497 0.998
Zn1 Zn 0.001 0.997 0.498
Nd2 Nd 0.501 0.997 0.249
Nd3 Nd 0.001 0.497 0.747
Nd4 Nd 0.001 0.497 0.249
```

Summary:
DFT total energy   -3.9954 eV/atom
SG   P4/mmm (123)

=====

First-principles (GGA-PBE) data for crystalline Al2AgIr at its relaxed geometry, as listed in the Alexandria database.

Structure (CIF):
```
data_Al2AgIr
_chemical_formula_sum 'Al2 Ag1 Ir1'
_cell_length_a 8.894
_cell_length_b 8.894
_cell_length_c 8.894
_cell_angle_alpha 18.75
_cell_angle_beta 18.75
_cell_angle_gamma 18.75
_space_group_name_H-M_alt 'P 1'
_space_group_IT_number 1
loop_
_space_group_symop_operation_xyz
'x,y,z'
loop_
_atom_site_label
_atom_site_type_symbol
_atom_site_fract_x
_atom_site_fract_y
_atom_site_fract_z
Al1 Al 0.999 0.999 0.999
Ir1 Ir 0.507 0.507 0.507
Ag1 Ag 0.749 0.749 0.749
Al2 Al 0.245 0.245 0.245
```

Summary:
DFT total energy   -4.9361 eV/atom
SG   R3m (160)

=====

First-principles (GGA-PBE) data for crystalline Tc2AsPb at its relaxed geometry, as listed in the Alexandria database.

Structure (CIF):
```
data_Tc2AsPb
_chemical_formula_sum 'Tc2 As1 Pb1'
_cell_length_a 5.266
_cell_length_b 5.266
_cell_length_c 3.100
_cell_angle_alpha 73.96
_cell_angle_beta 73.96
_cell_angle_gamma 108.16
_space_group_name_H-M_alt 'P 1'
_space_group_IT_number 1
loop_
_space_group_symop_operation_xyz
'x,y,z'
loop_
_atom_site_label
_atom_site_type_symbol
_atom_site_fract_x
_atom_site_fract_y
_atom_site_fract_z
Tc1 Tc 0.000 0.000 0.000
Pb1 Pb 0.000 0.500 0.500
As1 As 0.500 0.000 0.500
Tc2 Tc 0.500 0.500 0.000
```

Summary:
Energy relative to the lowest polymorph listed for this composition   578 meV/atom
SG   C2/m (12)

=====

First-principles (GGA-PBE) data for crystalline CaMg2Cl6 at its relaxed geometry, as listed in the Alexandria database.

Structure (CIF):
```
data_CaMg2Cl6
_chemical_formula_sum 'Ca1 Mg2 Cl6'
_cell_length_a 4.233
_cell_length_b 6.848
_cell_length_c 9.479
_cell_angle_alpha 94.24
_cell_angle_beta 90.00
_cell_angle_gamma 108.00
_space_group_name_H-M_alt 'P 1'
_space_group_IT_number 1
loop_
_space_group_symop_operation_xyz
'x,y,z'
loop_
_atom_site_label
_atom_site_type_symbol
_atom_site_fract_x
_atom_site_fract_y
_atom_site_fract_z
Mg1 Mg 0.741 0.483 0.818
Cl1 Cl 0.093 0.185 0.254
Mg2 Mg 0.259 0.517 0.182
Cl2 Cl 0.371 0.742 0.403
Cl3 Cl 0.907 0.815 0.746
Cl4 Cl 0.824 0.648 0.098
Cl5 Cl 0.629 0.258 0.597
Cl6 Cl 0.176 0.352 0.902
Ca1 Ca 0.000 0.000 0.500
```

Summary:
Energy relative to the lowest polymorph listed for this composition   23 meV/atom
Uncorrected formation energy   -1.9669 eV per atom
SG   C2/m (12)

=====

First-principles (GGA-PBE) data for crystalline TbYZr2N4 at its relaxed geometry, as listed in the Alexandria database.

Structure (CIF):
```
data_TbYZr2N4
_chemical_formula_sum 'Tb1 Y1 Zr2 N4'
_cell_length_a 3.351
_cell_length_b 5.863
_cell_length_c 5.797
_cell_angle_alpha 70.68
_cell_angle_beta 90.00
_cell_angle_gamma 90.00
_space_group_name_H-M_alt 'P 1'
_space_group_IT_number 1
loop_
_space_group_symop_operation_xyz
'x,y,z'
loop_
_atom_site_label
_atom_site_type_symbol
_atom_site_fract_x
_atom_site_fract_y
_atom_site_fract_z
Tb1 Tb 0.500 0.500 0.000
Zr1 Zr 0.500 0.000 0.500
N1 N 0.000 0.769 0.744
N2 N 0.500 0.768 0.245
Y1 Y 0.000 0.500 0.500
Zr2 Zr 0.000 0.000 0.000
N3 N 0.500 0.232 0.755
N4 N 0.000 0.231 0.256
```

Summary:
Uncorrected formation energy   -1.7096 eV per atom
SG   P2/m (10)

=====

First-principles (GGA-PBE) data for crystalline UAlTlO6 at its relaxed geometry, as listed in the Alexandria database.

Structure (CIF):
```
data_UAlTlO6
_chemical_formula_sum 'U1 Al1 Tl1 O6'
_cell_length_a 5.322
_cell_length_b 5.322
_cell_length_c 4.790
_cell_angle_alpha 89.98
_cell_angle_beta 89.99
_cell_angle_gamma 59.99
_space_group_name_H-M_alt 'P 1'
_space_group_IT_number 1
loop_
_space_group_symop_operation_xyz
'x,y,z'
loop_
_atom_site_label
_atom_site_type_symbol
_atom_site_fract_x
_atom_site_fract_y
_atom_site_fract_z
U1 U 0.667 0.667 0.500
O1 O 0.021 0.632 0.721
O2 O 0.347 0.632 0.279
Tl1 Tl 0.000 0.000 0.000
O3 O 0.632 0.021 0.279
Al1 Al 0.333 0.333 0.500
O4 O 0.021 0.347 0.279
O5 O 0.347 0.021 0.721
O6 O 0.632 0.347 0.721
```

Summary:
Uncorrected formation energy   -2.2946 eV per atom
SG   P312 (149)

=====

| no. | V (Å³/cell) | calculated density (kg/m3) |
| --- | --- | --- |
| 1 | 83.6 | 6956 |
| 2 | 125.2 | 10896 |
| 3 | 207.5 | 6908 |
| 4 | 343.0 | 3508 |
| 5 | 111.4 | 7267 |
| 6 | 167.9 | 9737 |
| 7 | 188.1 | 6288 |
| 8 | 63.5 | 9258 |
| 9 | 72.0 | 11020 |
| 10 | 260.5 | 1921 |
| 11 | 107.5 | 7513 |
| 12 | 117.5 | 7991 |